Compound: LiMnCu2F8
Source: Alexandria
Functional: GGA+U
Structure: relaxed

a = 6.4780 Å, b = 6.4780 Å, c = 7.0472 Å
α = 90.00°, β = 90.00°, γ = 90.00°
With the nearest neighbours (Å) after each atom.
Space group I-4m2 (No. 119)
Unique sites:
1 Li 0.0000 0.0000 0.0000 [2 per cell]  4 F 2.02
2 Mn 0.0000 0.5000 0.7500 [2 per cell]  4 F 1.93
3 Cu 0.0000 0.0000 0.5000 [2 per cell]  4 F 1.95
4 Cu 0.0000 0.5000 0.2500 [2 per cell]  4 F 1.88
5 F 0.0000 0.2071 0.7002 [8 per cell]  1 Mn 1.93, 1 Cu 1.95
6 F 0.0000 0.3070 0.0512 [8 per cell]  1 Cu 1.88, 1 Li 2.02

E: -4.602 eV per atom
magnetic moment: 12.02 Bohr magnetons per cell